[1]
Material: Tb3Al3Ru2
Method: DFT, PBE
State: relaxed

Electronic total energy (eV per atom): -5.9898
Space-group type: Pnma (62)

a b c (Å): 7.601 15.331 5.821
angles (deg): 90.00 90.00 90.00
Positions (direct):
Tb  0.035  0.108  0.102
Tb  0.035  0.392  0.102
Tb  0.171  0.250  0.629
Tb  0.329  0.750  0.129
Tb  0.465  0.608  0.602
Tb  0.465  0.892  0.602
Tb  0.535  0.108  0.398
Tb  0.535  0.392  0.398
Tb  0.671  0.250  0.871
Tb  0.829  0.750  0.371
Tb  0.965  0.608  0.898
Tb  0.965  0.892  0.898
Al  0.159  0.034  0.591
Al  0.159  0.466  0.591
Al  0.173  0.750  0.617
Al  0.327  0.250  0.117
Al  0.341  0.534  0.091
Al  0.341  0.966  0.091
Al  0.659  0.034  0.909
Al  0.659  0.466  0.909
Al  0.673  0.750  0.883
Al  0.827  0.250  0.383
Al  0.841  0.534  0.409
Al  0.841  0.966  0.409
Ru  0.137  0.608  0.366
Ru  0.137  0.892  0.366
Ru  0.363  0.108  0.866
Ru  0.363  0.392  0.866
Ru  0.637  0.608  0.134
Ru  0.637  0.892  0.134
Ru  0.863  0.108  0.634
Ru  0.863  0.392  0.634

***

[2]
Material: ScBeH2W
Method: DFT, PBE
State: relaxed

Electronic total energy (eV per atom): -5.2994
Space-group type: P4/mmm (123)

a b c (Å): 3.422 3.422 5.030
angles (deg): 90.00 90.00 90.00
Positions (direct):
Sc  0.000  0.000  0.000
Be  0.000  0.000  0.500
H  0.000  0.500  0.000
H  0.500  0.000  0.000
W  0.500  0.500  0.500

***

[3]
Material: CrHgI2N
Method: DFT, PBE
State: relaxed

Electronic total energy (eV per atom): -4.1044
Space-group type: P4/mmm (123)
Energy above the most stable polymorph in this dataset (eV per atom): 0.0000

a b c (Å): 5.765 5.765 3.661
angles (deg): 90.00 90.00 90.00
Positions (direct):
Cr  0.000  0.000  0.000
Hg  0.500  0.500  0.500
I  0.000  0.500  0.000
I  0.500  0.000  0.000
N  0.000  0.000  0.500